Below is an optimized crystal structure of MnFeBP, with properties calculated at the GGA-PBE level.

As for the crystal system: monoclinic. The calculation puts the density of states at the Fermi level at 0.643 states/eV/atom. For the calculated formation energy, the calculation gives -5.419 kcal/mol of atoms.

It has space group Cm (No. 8), with a = 7.5267 Å, b = 2.9485 Å, c = 4.1265 Å, α = 90.00°, β = 122.52° and γ = 90.00°. The inequivalent atoms are Mn at (0.0000, 0.0000, 0.0000), Fe at (0.4124, 0.0000, 0.4145), B at (0.2074, 0.5000, 0.9915) and P at (0.2050, 0.0000, 0.6539).

***

Below is an optimized crystal structure of BaHfIn3, with properties calculated at the GGA-PBE level.

As for the crystal system: cubic. The calculation puts the density of states at the Fermi level at 1.088 states/eV/atom. For the calculated formation energy, the calculation gives 0.147 kcal/mol of atoms.

It has space group Pm-3m (No. 221), with a = 5.6038 Å, b = 5.6038 Å, c = 5.6038 Å, α = 90.00°, β = 90.00° and γ = 90.00°. The inequivalent atoms are Ba at (0.0000, 0.0000, 0.0000), Hf at (0.5000, 0.5000, 0.5000) and In at (0.0000, 0.5000, 0.5000).

***

Below is an optimized crystal structure of VSbI2Cl, with properties calculated at the GGA-PBE level.

As for the crystal system: tetragonal. The calculation puts the density of states at the Fermi level at 2.533 states/eV/atom. Its uncorrected formation energy is 1005 meV per atom.

It has space group P4/mmm (No. 123), with a = 6.1113 Å, b = 6.1113 Å, c = 5.0997 Å, α = 90.00°, β = 90.00° and γ = 90.00°. The inequivalent atoms are V at (0.0000, 0.0000, 0.0000), Sb at (0.5000, 0.5000, 0.0000), I at (0.0000, 0.5000, 0.5000) and Cl at (0.5000, 0.5000, 0.5000).